Here is an optimized crystal structure of Tl3NiBi from Alexandria via LeMat-Bulk. Energies are from GGA-PBE.

Computed properties:
ρ (g/cm³): 6.6
VASP energy (eV per atom): -2.310
Energy of formation from the pure elements (eV per atom): 1.0418
DOS(E_F) (states/eV per cell): 10.79
Energy relative to the lowest polymorph listed for this composition (kcal/mol of atoms): 20.07

extended XYZ file:
```
5
Lattice="6.043 0.000 0.000 0.000 6.043 0.000 0.000 0.000 6.043" Properties=species:S:1:pos:R:3 pbc="T T T"
Ni 3.021 3.021 3.021
Tl 0.000 3.021 0.000
Tl 0.000 0.000 3.021
Tl 3.021 0.000 0.000
Bi 0.000 0.000 0.000
```